Below is a relaxed CePm2Tm4 crystal, with properties calculated at the PBE-GGA level.

The size of the total moment is 0.126 μB per atom. As for the uncorrected energy: -33.04 eV for the cell shown. The volume is 31.4 A^3/atom.

abc: 3.566 3.566 20.099
angles: 95.10 95.10 60.00
Fractional coordinates of all 7 atoms:
Ce (0.000, 0.000, 0.000)
Pm (0.091, 0.091, 0.286)
Pm (0.182, 0.182, 0.575)
Tm (0.281, 0.281, 0.858)
Tm (0.375, 0.375, 0.143)
Tm (0.804, 0.804, 0.430)
Tm (0.903, 0.903, 0.720)



Below is a relaxed CePm4Tm5 crystal, with properties calculated at the PBE-GGA level.

For the energy above the most stable polymorph in this dataset, the calculation gives 0.0 meV/atom. The size of the total moment is 0.122 μB per atom. As for the uncorrected energy: -44.81 eV for the cell shown. The volume is 33.1 A^3/atom.

abc: 8.121 8.121 9.759
angles: 126.39 126.39 41.78
Fractional coordinates of all 10 atoms:
Ce (0.000, 0.000, 0.000)
Pm (0.247, 0.247, 0.170)
Pm (0.261, 0.261, 0.598)
Pm (0.739, 0.739, 0.402)
Pm (0.753, 0.753, 0.830)
Tm (0.074, 0.074, 0.727)
Tm (0.422, 0.422, 0.077)
Tm (0.500, 0.500, 0.500)
Tm (0.578, 0.578, 0.923)
Tm (0.926, 0.926, 0.273)



Below is a relaxed Ce2PmTm crystal, with properties calculated at the PBE-GGA level.

For the energy above the most stable polymorph in this dataset, the calculation gives 9.6 meV/atom. The size of the total moment is 0.408 μB per atom. As for the uncorrected energy: -20.66 eV for the cell shown. The volume is 30.6 A^3/atom.

abc: 4.908 4.908 5.082
angles: 90.00 90.00 90.00
Fractional coordinates of all 4 atoms:
Ce (0.000, 0.500, 0.000)
Ce (0.500, 0.000, 0.000)
Pm (0.000, 0.000, 0.500)
Tm (0.500, 0.500, 0.500)



Below is a relaxed CePm10Tm4 crystal, with properties calculated at the PBE-GGA level.

The size of the total moment is 0.080 μB per atom. As for the uncorrected energy: -66.37 eV for the cell shown. The volume is 33.9 A^3/atom.

abc: 8.725 8.725 8.725
angles: 111.90 111.90 104.72
Fractional coordinates of all 15 atoms:
Ce (0.000, 0.000, 0.000)
Pm (0.130, 0.229, 0.670)
Pm (0.229, 0.559, 0.099)
Pm (0.250, 0.750, 0.500)
Pm (0.441, 0.540, 0.670)
Pm (0.460, 0.130, 0.901)
Pm (0.540, 0.870, 0.099)
Pm (0.559, 0.460, 0.330)
Pm (0.750, 0.250, 0.500)
Pm (0.771, 0.441, 0.901)
Pm (0.870, 0.771, 0.330)
Tm (0.063, 0.666, 0.729)
Tm (0.334, 0.063, 0.397)
Tm (0.666, 0.937, 0.603)
Tm (0.937, 0.334, 0.271)